TlPb2Au2: relaxed, GGA-PBE.

Lattice parameters (Å, degrees): 8.699 8.699 3.503 90.00 90.00 90.00
Element x y z (fractional)
Tl 0.000 0.000 0.000
Tl 0.500 0.500 0.000
Pb 0.141 0.359 0.000
Pb 0.359 0.859 0.000
Pb 0.641 0.141 0.000
Pb 0.859 0.641 0.000
Au 0.156 0.656 0.500
Au 0.344 0.156 0.500
Au 0.656 0.844 0.500
Au 0.844 0.344 0.500

Properties
* space group: P4/mbm (127)
* ΔH_f (0 K): 21 meV per atom
* energy: -32.5 eV for the cell shown